Entry 1:
TaSnMo | PBE | optimized geometry

Lattice parameters (Å, degrees): 3.4401 3.4401 5.2424 109.15 109.15 90.00
Fractional positions:
1 Mo 0.2939 0.2939 0.5878
2 Sn 0.6189 0.6189 0.2379
3 Ta 0.9372 0.9372 0.8743

Output
Formation enthalpy at 0 K (eV/atom): 0.048
Space group: I4mm, No. 107

=====

Entry 2:
SnPd3Pt | PBE | optimized geometry

Lattice parameters (Å, degrees): 4.0534 5.6970 14.1011 90.00 90.00 90.00
Fractional positions:
1 Sn 0.2500 0.1212 0.3533
2 Sn 0.7500 0.8788 0.6467
3 Sn 0.7500 0.3788 0.8533
4 Sn 0.2500 0.6212 0.1467
5 Pd 0.7500 0.3644 0.2516
6 Pd 0.2500 0.6296 0.9479
7 Pd 0.2500 0.1193 0.1508
8 Pd 0.2500 0.6193 0.3492
9 Pd 0.2500 0.1296 0.5521
10 Pd 0.7500 0.3807 0.6508
11 Pd 0.2500 0.1356 0.7516
12 Pd 0.7500 0.8807 0.8492
13 Pd 0.7500 0.3704 0.0521
14 Pd 0.7500 0.8644 0.2484
15 Pd 0.7500 0.8704 0.4479
16 Pd 0.2500 0.6356 0.7484
17 Pt 0.2500 0.6255 0.5489
18 Pt 0.7500 0.3745 0.4511
19 Pt 0.7500 0.8745 0.0489
20 Pt 0.2500 0.1255 0.9511

Output
Formation enthalpy at 0 K (eV/atom): -0.393
Space group: Pnma, No. 62

=====

no.,raw total energy (eV per cell),ΔE to the lowest computed polymorph (eV per atom)
1,-26.54,0.0000
2,-110.35,0.0000